1.
Here is a relaxed BaRhPb2 crystal from the Alexandria database. Energies are from PBE-GGA.

a b c (Å): 4.634 4.634 6.057
angles (deg): 90.00 90.00 90.00
Fractional positions:
1 Ba 0.000 0.000 0.000
2 Rh 0.500 0.500 0.762
3 Pb 0.000 0.500 0.498
4 Pb 0.500 0.000 0.498

Computed properties:
total energy: -4.3028 eV per atom
SG: No. 99
energy of formation from the pure elements: -130 meV per atom
magnetic moment: 0.000 Bohr magnetons per cell
Fermi-level density of states: 3.7 states/eV/cell

---

2.
Here is a relaxed K2Ca3DyF12 crystal from the Alexandria database. Energies are from PBE-GGA.

a b c (Å): 8.356 8.356 8.356
angles (deg): 57.36 57.36 57.36
Fractional positions:
1 K 0.087 0.087 0.087
2 K 0.913 0.913 0.913
3 Ca 0.000 0.500 0.500
4 Ca 0.500 0.000 0.500
5 Ca 0.500 0.500 0.000
6 Dy 0.500 0.500 0.500
7 F 0.158 0.158 0.599
8 F 0.158 0.599 0.158
9 F 0.186 0.564 0.564
10 F 0.401 0.842 0.842
11 F 0.436 0.436 0.814
12 F 0.436 0.814 0.436
13 F 0.564 0.186 0.564
14 F 0.564 0.564 0.186
15 F 0.599 0.158 0.158
16 F 0.814 0.436 0.436
17 F 0.842 0.401 0.842
18 F 0.842 0.842 0.401

Computed properties:
total energy: -5.3625 eV per atom
SG: No. 166
magnetic moment: 1.295 Bohr magnetons per cell
Fermi-level density of states: 18.9 states/eV/cell